A plane-wave DFT calculation with GGA-PBE was carried out for an optimized crystal structure of Nd2SmY2Tm.

Calculated values
V in Å³/f.u.: 202.6
D(E_F) in states/eV per cell: 18.80
Energy of formation in eV per atom: 0.15
Spin magnetization in μB per cell: 0.00
Theoretical density in Mg/m³: 6.4
SG: Pnnm (58)

POSCAR file:
```
Nd2SmY2Tm
1.0
7.011 0.000 0.000
0.000 16.455 0.000
0.000 0.000 3.513
Nd Sm Y Tm
4 2 4 2
Direct
0.247 0.154 0.000
0.253 0.654 0.500
0.747 0.346 0.500
0.753 0.846 0.000
0.000 0.500 0.000
0.500 0.000 0.500
0.248 0.342 0.500
0.252 0.842 0.000
0.748 0.158 0.000
0.752 0.658 0.500
0.000 0.000 0.500
0.500 0.500 0.000
```